1.
! CsZnAg2F8, relaxed, DFT PBE; values from VASP
! **V**: 17.43 A^3/atom
! **SG**: No. 148
! **Calculated total energy**: -3.4633 eV per atom
&SYSTEM
  ibrav = 0, nat = 12, ntyp = 4
/
ATOMIC_SPECIES
Cs 132.91 Cs.upf
Zn 65.41 Zn.upf
Ag 107.87 Ag.upf
F 19.00 F.upf
CELL_PARAMETERS angstrom
2.876 1.660 7.303
-2.876 1.660 7.303
0.000 -3.321 7.303
ATOMIC_POSITIONS crystal
Cs 0.000 0.000 0.000
Zn 0.500 0.500 0.500
Ag 0.201 0.201 0.201
Ag 0.799 0.799 0.799
F 0.176 0.799 0.392
F 0.201 0.608 0.824
F 0.295 0.295 0.295
F 0.392 0.176 0.799
F 0.608 0.824 0.201
F 0.705 0.705 0.705
F 0.799 0.392 0.176
F 0.824 0.201 0.608

---

2.
! RbLa2AgS4, relaxed, DFT PBE; values from VASP
! **V**: 27.94 A^3/atom
! **SG**: No. 63
! **Calculated total energy**: -5.4440 eV per atom
&SYSTEM
  ibrav = 0, nat = 16, ntyp = 4
/
ATOMIC_SPECIES
Rb 85.47 Rb.upf
La 138.91 La.upf
Ag 107.87 Ag.upf
S 32.06 S.upf
CELL_PARAMETERS angstrom
2.134 -7.157 0.000
2.134 7.157 0.000
0.000 0.000 14.634
ATOMIC_POSITIONS crystal
Rb 0.112 0.888 0.750
Rb 0.888 0.112 0.250
La 0.368 0.632 0.563
La 0.368 0.632 0.937
La 0.632 0.368 0.063
La 0.632 0.368 0.437
Ag 0.163 0.837 0.250
Ag 0.837 0.163 0.750
S 0.000 0.000 0.000
S 0.000 0.000 0.500
S 0.260 0.740 0.104
S 0.260 0.740 0.396
S 0.435 0.565 0.750
S 0.565 0.435 0.250
S 0.740 0.260 0.604
S 0.740 0.260 0.896

---

3.
! Zr2InSi, relaxed, DFT PBE; values from VASP
! **V**: 21.22 A^3/atom
! **SG**: No. 99
! **Calculated total energy**: -6.5059 eV per atom
&SYSTEM
  ibrav = 0, nat = 4, ntyp = 3
/
ATOMIC_SPECIES
Zr 91.22 Zr.upf
In 114.82 In.upf
Si 28.09 Si.upf
CELL_PARAMETERS angstrom
3.809 0.000 0.000
0.000 3.809 0.000
0.000 0.000 5.851
ATOMIC_POSITIONS crystal
Zr 0.000 0.000 0.000
Zr 0.500 0.500 0.263
In 0.000 0.000 0.510
Si 0.500 0.500 0.790

---

4.
! ZrCrCl2, relaxed, DFT PBE; values from VASP
! **V**: 25.26 A^3/atom
! **SG**: No. 12
! **Calculated total energy**: -6.0314 eV per atom
&SYSTEM
  ibrav = 0, nat = 4, ntyp = 3
/
ATOMIC_SPECIES
Zr 91.22 Zr.upf
Cr 52.00 Cr.upf
Cl 35.45 Cl.upf
CELL_PARAMETERS angstrom
6.912 -1.659 0.000
6.912 1.659 0.000
-0.303 0.000 4.406
ATOMIC_POSITIONS crystal
Zr 0.000 0.000 0.000
Cr 0.500 0.500 0.500
Cl 0.362 0.362 0.781
Cl 0.638 0.638 0.219

---

5.
! Nd2FeI, relaxed, DFT PBE; values from VASP
! **V**: 29.29 A^3/atom
! **SG**: No. 166
! **Calculated total energy**: -5.2087 eV per atom
&SYSTEM
  ibrav = 0, nat = 4, ntyp = 3
/
ATOMIC_SPECIES
Nd 144.24 Nd.upf
Fe 55.84 Fe.upf
I 126.90 I.upf
CELL_PARAMETERS angstrom
2.022 1.167 8.275
-2.022 1.167 8.275
0.000 -2.335 8.275
ATOMIC_POSITIONS crystal
Nd 0.230 0.230 0.230
Nd 0.770 0.770 0.770
Fe 0.500 0.500 0.500
I 0.000 0.000 0.000

---

6.
! Hf4InRe, relaxed, DFT PBE; values from VASP
! **V**: 20.66 A^3/atom
! **SG**: No. 123
! **Formation energy**: -0.1751 eV/atom
&SYSTEM
  ibrav = 0, nat = 6, ntyp = 3
/
ATOMIC_SPECIES
Hf 178.49 Hf.upf
In 114.82 In.upf
Re 186.21 Re.upf
CELL_PARAMETERS angstrom
3.283 0.000 0.000
0.000 3.283 0.000
0.000 0.000 11.497
ATOMIC_POSITIONS crystal
Hf 0.000 0.000 0.139
Hf 0.000 0.000 0.861
Hf 0.500 0.500 0.320
Hf 0.500 0.500 0.680
In 0.000 0.000 0.500
Re 0.500 0.500 0.000